Below is an optimized crystal structure of SrLaHg, with properties calculated at the GGA-PBE level.

Cell lengths 5.456, 5.456, 5.456 Å; angles 60.00, 60.00, 60.00 degrees
Sites, in units of the cell vectors:
Sr: 0.000 0.000 0.000
La: 0.500 0.500 0.500
Hg: 0.250 0.250 0.250

Results
calculated density	6.17	g cm⁻³
DFT formation energy	-0.1756	eV/atom
DOS(E_F)	3.93	states/eV per cell
offset from the most stable computed form	164	meV per atom
raw total energy	-2.479	eV/atom
crystal system	cubic

***

Below is an optimized crystal structure of Sm2InPb, with properties calculated at the GGA-PBE level.

Cell lengths 9.790, 9.790, 9.790 Å; angles 22.93, 22.93, 22.93 degrees
Sites, in units of the cell vectors:
Sm: 0.249 0.249 0.249
Sm: 0.751 0.751 0.751
In: 0.500 0.500 0.500
Pb: 0.000 0.000 0.000

Results
calculated density	8.27	g cm⁻³
DFT formation energy	-0.3372	eV/atom
DOS(E_F)	3.33	states/eV per cell
raw total energy	-4.309	eV/atom
crystal system	trigonal

***

Below is an optimized crystal structure of LaDyTmTh, with properties calculated at the GGA-PBE level.

Cell lengths 3.613, 3.613, 10.016 Å; angles 90.00, 90.00, 90.00 degrees
Sites, in units of the cell vectors:
La: 0.000 0.000 0.000
Dy: 0.500 0.500 0.264
Tm: 0.500 0.500 0.740
Th: 0.000 0.000 0.504

Results
calculated density	8.92	g cm⁻³
DFT formation energy	0.0142	eV/atom
DOS(E_F)	4.20	states/eV per cell
offset from the most stable computed form	0	meV per atom
raw total energy	-5.341	eV/atom
crystal system	tetragonal

***

Below is an optimized crystal structure of ZnB2Cl, with properties calculated at the GGA-PBE level.

Cell lengths 4.287, 4.287, 4.287 Å; angles 60.00, 60.00, 60.00 degrees
Sites, in units of the cell vectors:
Zn: 0.000 0.000 0.000
B: 0.250 0.250 0.250
B: 0.750 0.750 0.750
Cl: 0.500 0.500 0.500

Results
calculated density	3.65	g cm⁻³
DOS(E_F)	2.24	states/eV per cell
uncorrected formation energy	1.892	eV/atom
offset from the most stable computed form	599	meV per atom
raw total energy	-2.226	eV/atom
crystal system	cubic

***

Below is an optimized crystal structure of KTcSb2Rh, with properties calculated at the GGA-PBE level.

Cell lengths 5.508, 5.508, 4.558 Å; angles 90.00, 90.00, 90.00 degrees
Sites, in units of the cell vectors:
K: 0.000 0.000 0.000
Tc: 0.000 0.000 0.500
Sb: 0.000 0.500 0.000
Sb: 0.500 0.000 0.000
Rh: 0.500 0.500 0.500

Results
calculated density	5.81	g cm⁻³
DOS(E_F)	6.33	states/eV per cell
uncorrected formation energy	2.376	eV/atom
raw total energy	-3.036	eV/atom
crystal system	tetragonal

***

Below is an optimized crystal structure of AcTiP2N6, with properties calculated at the GGA-PBE level.

Cell lengths 6.776, 6.776, 5.381 Å; angles 99.87, 99.87, 86.41 degrees
Sites, in units of the cell vectors:
Ac: 0.187 0.813 0.750
Ac: 0.813 0.187 0.250
Ti: 0.405 0.595 0.250
Ti: 0.595 0.405 0.750
P: 0.134 0.303 0.800
P: 0.303 0.134 0.300
P: 0.697 0.866 0.700
P: 0.866 0.697 0.200
N: 0.099 0.615 0.265
N: 0.147 0.166 0.030
N: 0.166 0.147 0.530
N: 0.317 0.459 0.873
N: 0.385 0.901 0.235
N: 0.459 0.317 0.373
N: 0.541 0.683 0.627
N: 0.615 0.099 0.765
N: 0.683 0.541 0.127
N: 0.834 0.853 0.470
N: 0.853 0.834 0.970
N: 0.901 0.385 0.735

Results
calculated density	5.83	g cm⁻³
DOS(E_F)	10.30	states/eV per cell
uncorrected formation energy	-0.810	eV/atom
raw total energy	-8.087	eV/atom
crystal system	monoclinic